Record 1
{"formula": "K2LiNd4Nb2O12", "functional": "PBE-GGA", "state": "relaxed", "de_polymorph_mev_per_atom": 46, "sg": "Cm (8)", "volume_a3_per_cell": 315.74, "formation_energy_uncorrected_mev_per_atom": -2741, "dos_ef_per_ev_cell": 1.8, "cell": [[2.8813, 6.4283, -0.0035], [-2.8813, 6.4283, -0.0035], [0.0000, 1.8689, 8.5224]], "species": ["O", "O", "O", "O", "O", "O", "O", "O", "O", "O", "O", "O", "K", "K", "Nb", "Nb", "Li", "Nd", "Nd", "Nd", "Nd"], "frac_coords": [[0.9984, 0.4553, 0.8263], [0.2025, 0.6712, 0.7087], [0.8112, 0.3136, 0.2949], [0.0192, 0.5373, 0.1840], [0.7553, 0.2410, 0.9910], [0.4553, 0.9984, 0.8263], [0.5373, 0.0192, 0.1840], [0.6712, 0.2025, 0.7087], [0.6704, 0.6704, 0.5123], [0.3136, 0.8112, 0.2949], [0.3126, 0.3126, 0.4853], [0.2410, 0.7553, 0.9910], [0.8839, 0.8839, 0.4586], [0.0901, 0.0901, 0.5755], [0.6697, 0.6697, 0.2953], [0.3315, 0.3315, 0.6954], [0.2278, 0.2278, 0.3230], [0.8568, 0.8568, 0.9364], [0.1283, 0.1283, 0.0539], [0.5836, 0.5836, 0.7980], [0.4402, 0.4402, 0.1918]]}

=====

Record 2
{"formula": "Pu2ZrSc6", "functional": "PBE-GGA", "state": "relaxed", "sg": "C2/m (12)", "volume_a3_per_cell": 217.51, "total_energy_ev_per_atom": -8.2466, "dos_ef_per_ev_cell": 17.4, "cell": [[-3.3760, 3.5734, -1.4745], [-2.3952, -0.8408, -5.4857], [-7.4242, -2.3088, 2.4712]], "species": ["Sc", "Sc", "Sc", "Sc", "Sc", "Sc", "Pu", "Pu", "Zr"], "frac_coords": [[0.3298, 0.1982, 0.1421], [0.6647, 0.1402, 0.5304], [0.9921, 0.8422, 0.1736], [0.6702, 0.8018, 0.8579], [0.3353, 0.8598, 0.4696], [0.0079, 0.1578, 0.8264], [0.3323, 0.5282, 0.8071], [0.6677, 0.4718, 0.1929], [0.0000, 0.5000, 0.5000]]}

=====

Record 3
{"formula": "SnHgC3", "functional": "PBE-GGA", "state": "relaxed", "de_polymorph_mev_per_atom": 0, "sg": "Pm-3m (221)", "volume_a3_per_cell": 83.09, "dos_ef_per_ev_cell": 4.8, "cell": [[-1.5991, 0.6035, 4.0150], [-1.1169, -4.2141, 0.1886], [3.9035, -0.9586, 1.6987]], "species": ["Sn", "Hg", "C", "C", "C"], "frac_coords": [[0.0000, 0.0000, 0.0000], [0.5000, 0.5000, 0.5000], [0.0000, 0.5000, 0.0000], [0.0000, 0.0000, 0.5000], [0.5000, 0.0000, 0.0000]]}

=====

Record 4
{"formula": "CaTb2Ce", "functional": "PBE-GGA", "state": "relaxed", "de_polymorph_mev_per_atom": 0, "sg": "R3m (160)", "volume_a3_per_cell": 131.39, "dos_ef_per_ev_cell": 7.2, "cell": [[-3.3292, -0.6475, -1.1566], [-1.7240, -2.9551, 1.0658], [-6.0491, 4.6875, 9.2364]], "species": ["Tb", "Tb", "Ca", "Ce"], "frac_coords": [[0.2555, 0.2555, 0.2336], [0.0776, 0.0776, 0.7671], [0.5006, 0.5006, 0.4981], [0.6662, 0.6662, 0.0013]]}

=====

Record 5
{"formula": "Ca2BeW", "functional": "PBE-GGA", "state": "relaxed", "sg": "R-3m (166)", "volume_a3_per_cell": 84.79, "total_energy_ev_per_atom": -4.1336, "dos_ef_per_ev_cell": 4.3, "cell": [[-5.2842, -8.0386, 3.6027], [-2.6552, -8.4412, 5.2170], [-4.8558, -6.5171, 6.2826]], "species": ["Ca", "Ca", "W", "Be"], "frac_coords": [[0.4978, 0.4978, 0.4978], [0.0022, 0.0022, 0.0022], [0.2500, 0.2500, 0.2500], [0.7500, 0.7500, 0.7500]]}

=====

Record 6
{"formula": "BaVH", "functional": "PBE-GGA", "state": "relaxed", "de_polymorph_mev_per_atom": 1232, "sg": "F-43m (216)", "volume_a3_per_cell": 94.03, "dos_ef_per_ev_cell": 4.4, "cell": [[0.0000, 3.6092, 3.6092], [3.6092, 0.0000, 3.6092], [3.6092, 3.6092, 0.0000]], "species": ["V", "Ba", "H"], "frac_coords": [[0.7500, 0.7500, 0.7500], [0.0000, 0.0000, 0.0000], [0.2500, 0.2500, 0.2500]]}

=====

Record 7
{"formula": "Zn5W3", "functional": "PBE-GGA", "state": "relaxed", "de_polymorph_mev_per_atom": 264, "sg": "P6_3/mcm (193)", "volume_a3_per_cell": 250.32, "dos_ef_per_ev_cell": 10.9, "cell": [[7.8206, -0.0014, 0.0000], [3.9126, 6.7716, 0.0000], [0.0000, 0.0000, 4.7264]], "species": ["Zn", "Zn", "Zn", "Zn", "Zn", "Zn", "Zn", "Zn", "Zn", "Zn", "W", "W", "W", "W", "W", "W"], "frac_coords": [[0.3334, 0.3334, 0.5000], [0.3334, 0.3334, 0.0000], [0.7859, 0.0000, 0.7500], [0.6666, 0.6666, 0.5000], [0.0000, 0.2141, 0.7500], [0.6666, 0.6666, 0.0000], [0.0000, 0.7859, 0.2500], [0.2141, 0.0000, 0.2500], [0.7859, 0.2141, 0.2500], [0.2141, 0.7859, 0.7500], [0.0000, 0.5874, 0.7500], [0.5874, 0.0000, 0.2500], [0.4126, 0.0000, 0.7500], [0.0000, 0.4126, 0.2500], [0.4126, 0.5874, 0.2500], [0.5874, 0.4126, 0.7500]]}

=====

Record 8
{"formula": "PaTaH2", "functional": "PBE-GGA", "state": "relaxed", "sg": "R-3m (166)", "volume_a3_per_cell": 47.80, "total_energy_ev_per_atom": -7.1236, "dos_ef_per_ev_cell": 3.7, "cell": [[-1.2706, -2.1773, -1.7139], [-0.1775, -2.8565, 1.0494], [-5.7827, -0.4693, 2.1722]], "species": ["Ta", "H", "H", "Pa"], "frac_coords": [[0.5000, 0.5000, 0.5000], [0.7745, 0.7745, 0.6764], [0.2255, 0.2255, 0.3236], [0.0000, 0.0000, 0.0000]]}

=====

Record 9
{"formula": "ScGaS2Cl", "functional": "PBE-GGA", "state": "relaxed", "de_polymorph_mev_per_atom": 0, "sg": "P4/mmm (123)", "volume_a3_per_cell": 125.42, "formation_energy_uncorrected_mev_per_atom": -912, "dos_ef_per_ev_cell": 4.0, "cell": [[-2.9762, 3.6416, 1.5351], [-1.9845, -3.0390, 3.3618], [3.5397, 1.4569, 3.4066]], "species": ["S", "S", "Cl", "Sc", "Ga"], "frac_coords": [[0.0000, 0.5000, 0.0000], [0.5000, 0.0000, 0.0000], [0.0000, 0.0000, 0.5000], [0.0000, 0.0000, 0.0000], [0.5000, 0.5000, 0.5000]]}

=====

Record 10
{"formula": "BeTc3P", "functional": "PBE-GGA", "state": "relaxed", "de_polymorph_mev_per_atom": 0, "sg": "Pm-3m (221)", "volume_a3_per_cell": 81.26, "dos_ef_per_ev_cell": 4.4, "cell": [[4.3314, 0.0000, 0.0000], [0.0000, 4.3314, 0.0000], [0.0000, 0.0000, 4.3314]], "species": ["P", "Tc", "Tc", "Tc", "Be"], "frac_coords": [[0.0000, 0.0000, 0.0000], [0.5000, 0.0000, 0.0000], [0.0000, 0.0000, 0.5000], [0.0000, 0.5000, 0.0000], [0.5000, 0.5000, 0.5000]]}